1.
Density functional theory data (PBE-GGA) for RbBa2PmO4 after structural relaxation.

- formation energy without anion corrections (eV/atom) = -2.373
- VASP energy (Ry per atom) = -0.445
- spin magnetization (μB/f.u.) = 0.00

Unit cell a=7.6405 b=7.6719 c=11.0860 alpha=90.00 beta=90.00 gamma=90.00
With the nearest neighbours (Å) after each atom.
Space group Imma (No. 74)
Symmetry-distinct sites (fractional):
Rb: 0.0000 0.0000 0.0000 (multiplicity 4)  6 O 2.83
Ba: 0.0000 0.0000 0.5000 (multiplicity 4)  6 O 2.66-2.72
Ba: 0.2500 0.2500 0.2500 (multiplicity 4)  4 O 2.82
Pm: 0.2500 0.2500 0.7500 (multiplicity 4)  6 O 2.35-2.60
O: 0.0000 0.0207 0.7448 (multiplicity 8)  2 Pm 2.60, 3 Ba 2.72-2.82, 1 Rb 2.83
O: 0.2340 0.2500 0.5381 (multiplicity 8)  1 Pm 2.35

---

2.
Density functional theory data (PBE-GGA) for BaPmReO6 after structural relaxation.

- formation energy without anion corrections (eV/atom) = -2.432
- VASP energy (Ry per atom) = -0.578
- spin magnetization (μB/f.u.) = 0.00

Unit cell a=5.7406 b=5.7406 c=5.5622 alpha=90.00 beta=90.00 gamma=120.00
With the nearest neighbours (Å) after each atom.
Space group P312 (No. 149)
Symmetry-distinct sites (fractional):
Ba: 0.0000 0.0000 0.0000 (multiplicity 1)  6 O 2.75
Pm: 0.3333 0.6667 0.5000 (multiplicity 1)  6 O 2.33
Re: 0.6667 0.3333 0.5000 (multiplicity 1)  6 O 1.91
O: 0.4022 0.0534 0.6967 (multiplicity 6)  1 Re 1.91

---

3.
Density functional theory data (PBE-GGA) for Ba2PmRe3O12 after structural relaxation.

- formation energy without anion corrections (eV/atom) = -2.109
- VASP energy (Ry per atom) = -0.586
- spin magnetization (μB/f.u.) = 0.00

Unit cell a=7.4631 b=7.4631 c=16.5274 alpha=90.00 beta=90.00 gamma=120.00
With the nearest neighbours (Å) after each atom.
Space group R-3m (No. 166, hexagonal axes)
Symmetry-distinct sites (fractional):
Ba: 0.0000 0.0000 0.1172 (multiplicity 6)  3 O 2.62
Pm: 0.0000 0.0000 0.5000 (multiplicity 3)  6 O 2.46
Re: 0.0000 0.5000 0.0000 (multiplicity 9)  6 O 1.89-1.95
O: 0.0236 0.5118 0.8858 (multiplicity 18)  1 Re 1.89
O: 0.0816 0.5408 0.3229 (multiplicity 18)  2 Re 1.95

---

4.
Density functional theory data (PBE-GGA) for BaPmRe2O8 after structural relaxation.

- formation energy without anion corrections (eV/atom) = -2.062
- VASP energy (Ry per atom) = -0.588
- spin magnetization (μB/f.u.) = 3.01

Unit cell a=6.0116 b=6.0116 c=7.6991 alpha=90.00 beta=90.00 gamma=120.00
With the nearest neighbours (Å) after each atom.
Space group P-3m1 (No. 164)
Symmetry-distinct sites (fractional):
Ba: 0.0000 0.0000 0.0000 (multiplicity 1)  6 O 2.86
Pm: 0.0000 0.0000 0.5000 (multiplicity 1)  6 O 2.34
Re: 0.3333 0.6667 0.7808 (multiplicity 2)  4 O 1.80-1.84
O: 0.1662 0.3323 0.7038 (multiplicity 6)  1 Re 1.84
O: 0.3333 0.6667 0.0141 (multiplicity 2)  1 Re 1.80

---

- The highest VASP energy belongs to which entry?
  RbBa2PmO4

---

- What is the spin magnetization in the second record?
  0.00 μB/f.u.

---

- Which formula does entry 1 have?
  RbBa2PmO4